--- i ---
ScTaTc2 | PBE | relaxed

Cell: 6.387 6.387 6.387 Å, 90.00 90.00 90.00°
Space group F-43m (No. 216)
Inequivalent atoms, fractional coordinates:
Sc: 0.000 0.000 0.000 (multiplicity 4)
Ta: 0.250 0.250 0.250 (multiplicity 4)
Tc: 0.000 0.000 0.500 (multiplicity 4)
Tc: 0.250 0.250 0.750 (multiplicity 4)

Output
Calculated density, g/cm3: 10.75
Total magnetization, μB per cell: 0.0

***

--- ii ---
ScTaTc2 | PBE | relaxed

Cell: 6.394 6.394 6.394 Å, 90.00 90.00 90.00°
Space group Fm-3m (No. 225)
Inequivalent atoms, fractional coordinates:
Sc: 0.000 0.000 0.000 (multiplicity 4)
Ta: 0.000 0.000 0.500 (multiplicity 4)
Tc: 0.250 0.250 0.250 (multiplicity 8)

Output
Calculated density, g/cm3: 10.72
Total magnetization, μB per cell: 0.0

***

Which one is most stable, and which one is least stable? ii is the most stable of them, while i is the least stable.

***

--- i ---
ScTaTc2 | PBE | relaxed

Cell: 7.625 6.719 5.628 Å, 90.00 90.00 90.00°
Space group Pnma (No. 62)
Inequivalent atoms, fractional coordinates:
Sc: 0.040 0.250 0.140 (multiplicity 4)
Ta: 0.090 0.750 0.350 (multiplicity 4)
Tc: 0.196 0.045 0.597 (multiplicity 8)

Output
Calculated density, g/cm3: 9.72
Total magnetization, μB per cell: 0.0

***

--- ii ---
ScTaTc2 | PBE | relaxed

Cell: 3.199 3.199 6.447 Å, 90.00 90.00 90.00°
Space group P4/mmm (No. 123)
Inequivalent atoms, fractional coordinates:
Sc: 0.000 0.000 0.000 (multiplicity 1)
Ta: 0.000 0.000 0.500 (multiplicity 1)
Tc: 0.500 0.500 0.262 (multiplicity 2)

Output
Calculated density, g/cm3: 10.61
Total magnetization, μB per cell: 0.0

***

Which one is most stable, and which one is least stable? ii is the most stable of them, while i is the least stable.

***

--- i ---
ScUTa | PBE | relaxed

Cell: 6.522 6.522 6.522 Å, 90.00 90.00 90.00°
Space group F-43m (No. 216)
Inequivalent atoms, fractional coordinates:
Sc: 0.000 0.000 0.000 (multiplicity 4)
U: 0.250 0.250 0.250 (multiplicity 4)
Ta: 0.250 0.250 0.750 (multiplicity 4)

Output
Calculated density, g/cm3: 11.11
Total magnetization, μB per cell: 0.4

***

--- ii ---
ScUTa | PBE | relaxed

Cell: 6.614 6.614 6.614 Å, 90.00 90.00 90.00°
Space group F-43m (No. 216)
Inequivalent atoms, fractional coordinates:
Sc: 0.000 0.000 0.000 (multiplicity 4)
U: 0.250 0.250 0.250 (multiplicity 4)
Ta: 0.000 0.000 0.500 (multiplicity 4)

Output
Calculated density, g/cm3: 10.65
Total magnetization, μB per cell: 11.4

***

Which one is most stable, and which one is least stable? i is the most stable of them, while ii is the least stable.

***

--- i ---
ScTcTe | PBE | relaxed

Cell: 3.414 3.414 23.652 Å, 90.00 90.00 90.00°
Space group I4/mmm (No. 139)
Inequivalent atoms, fractional coordinates:
Sc: 0.000 0.000 0.110 (multiplicity 4)
Tc: 0.000 0.000 0.453 (multiplicity 4)
Te: 0.000 0.000 0.317 (multiplicity 4)

Output
Calculated density, g/cm3: 6.52
Total magnetization, μB per cell: 0.0

***

--- ii ---
ScTcTe | PBE | relaxed

Cell: 6.422 6.422 6.422 Å, 90.00 90.00 90.00°
Space group F-43m (No. 216)
Inequivalent atoms, fractional coordinates:
Sc: 0.000 0.000 0.000 (multiplicity 4)
Tc: 0.250 0.250 0.750 (multiplicity 4)
Te: 0.250 0.250 0.250 (multiplicity 4)

Output
Calculated density, g/cm3: 6.78
Total magnetization, μB per cell: 0.0

***

Which one is most stable, and which one is least stable? i is the most stable of them, while ii is the least stable.

***

--- i ---
ScTlZnTe3 | PBE | relaxed

Cell: 8.696 4.242 10.948 Å, 90.00 110.10 90.00°
Space group P2_1/m (No. 11)
Inequivalent atoms, fractional coordinates:
Sc: 0.184 0.250 0.142 (multiplicity 2)
Tl: 0.239 0.750 0.712 (multiplicity 2)
Zn: 0.421 0.750 0.388 (multiplicity 2)
Te: 0.052 0.250 0.861 (multiplicity 2)
Te: 0.259 0.250 0.439 (multiplicity 2)
Te: 0.425 0.750 0.148 (multiplicity 2)

Output
Calculated density, g/cm3: 6.11
Total magnetization, μB per cell: 0.0

***

--- ii ---
ScTlZnTe3 | PBE | relaxed

Cell: 15.586 4.249 11.366 Å, 90.00 90.00 90.00°
Space group Pnma (No. 62)
Inequivalent atoms, fractional coordinates:
Sc: 0.023 0.250 0.155 (multiplicity 4)
Tl: 0.238 0.250 0.455 (multiplicity 4)
Zn: 0.017 0.750 0.401 (multiplicity 4)
Te: 0.090 0.750 0.622 (multiplicity 4)
Te: 0.096 0.250 0.922 (multiplicity 4)
Te: 0.140 0.750 0.241 (multiplicity 4)

Output
Calculated density, g/cm3: 6.15
Total magnetization, μB per cell: 0.0

***

--- iii ---
ScTlZnTe3 | PBE | relaxed

Cell: 11.187 4.234 15.482 Å, 90.00 90.00 90.00°
Space group Pnma (No. 62)
Inequivalent atoms, fractional coordinates:
Sc: 0.013 0.250 0.248 (multiplicity 4)
Tl: 0.236 0.750 0.508 (multiplicity 4)
Zn: 0.242 0.250 0.714 (multiplicity 4)
Te: 0.041 0.250 0.623 (multiplicity 4)
Te: 0.062 0.750 0.119 (multiplicity 4)
Te: 0.239 0.750 0.822 (multiplicity 4)

Output
Calculated density, g/cm3: 6.32
Total magnetization, μB per cell: 0.0

***

--- iv ---
ScTlZnTe3 | PBE | relaxed

Cell: 10.526 4.318 16.203 Å, 90.00 90.00 90.00°
Space group Pnma (No. 62)
Inequivalent atoms, fractional coordinates:
Sc: 0.176 0.250 0.047 (multiplicity 4)
Tl: 0.047 0.750 0.312 (multiplicity 4)
Zn: 0.169 0.750 0.860 (multiplicity 4)
Te: 0.009 0.250 0.896 (multiplicity 4)
Te: 0.166 0.250 0.481 (multiplicity 4)
Te: 0.198 0.750 0.701 (multiplicity 4)

Output
Calculated density, g/cm3: 6.29
Total magnetization, μB per cell: 0.0

***

Which one is most stable, and which one is least stable? iii is the most stable of them, while iv is the least stable.